(1)
# ZrTl2Si PBE optimized geometry
data_ZrTl2Si
_space_group_name_H-M_alt 'P 1'
_space_group_IT_number 1
_space_group_name_Hall 'P 1'
_cell_length_a 6.014
_cell_length_b 6.014
_cell_length_c 6.014
_cell_angle_alpha 139.81
_cell_angle_beta 139.81
_cell_angle_gamma 58.14
loop_
_atom_site_label
_atom_site_type_symbol
_atom_site_fract_x
_atom_site_fract_y
_atom_site_fract_z
Zr1 Zr 0.000 0.000 0.000
Tl1 Tl 0.250 0.750 0.500
Tl2 Tl 0.750 0.250 0.500
Si1 Si 0.500 0.500 0.000
# SG: No. 139
# Magnetization in Bohr magnetons per cell: 0.000
# Formation energy from raw total energies in eV/atom: 0.136

(2)
# ZrTl2Si PBE optimized geometry
data_ZrTl2Si
_space_group_name_H-M_alt 'P 1'
_space_group_IT_number 1
_space_group_name_Hall 'P 1'
_cell_length_a 3.208
_cell_length_b 3.208
_cell_length_c 9.631
_cell_angle_alpha 90.00
_cell_angle_beta 90.00
_cell_angle_gamma 100.62
loop_
_atom_site_label
_atom_site_type_symbol
_atom_site_fract_x
_atom_site_fract_y
_atom_site_fract_z
Zr1 Zr 0.000 0.000 0.000
Tl1 Tl 0.000 0.000 0.570
Tl2 Tl 0.500 0.500 0.258
Si1 Si 0.500 0.500 0.822
# SG: No. 35
# Magnetization in Bohr magnetons per cell: 0.000
# Formation energy from raw total energies in eV/atom: 0.067

(3)
# ZrTl2Si PBE optimized geometry
data_ZrTl2Si
_space_group_name_H-M_alt 'P 1'
_space_group_IT_number 1
_space_group_name_Hall 'P 1'
_cell_length_a 3.261
_cell_length_b 3.261
_cell_length_c 9.646
_cell_angle_alpha 90.00
_cell_angle_beta 90.00
_cell_angle_gamma 113.54
loop_
_atom_site_label
_atom_site_type_symbol
_atom_site_fract_x
_atom_site_fract_y
_atom_site_fract_z
Zr1 Zr 0.000 0.000 0.000
Tl1 Tl 0.500 0.500 0.261
Tl2 Tl 0.500 0.500 0.739
Si1 Si 0.000 0.000 0.500
# SG: No. 65
# Magnetization in Bohr magnetons per cell: 0.000
# Formation energy from raw total energies in eV/atom: 0.412

(4)
# ZrTlSi4 PBE optimized geometry
data_ZrTlSi4
_space_group_name_H-M_alt 'P 1'
_space_group_IT_number 1
_space_group_name_Hall 'P 1'
_cell_length_a 5.260
_cell_length_b 5.260
_cell_length_c 5.260
_cell_angle_alpha 60.00
_cell_angle_beta 60.00
_cell_angle_gamma 60.00
loop_
_atom_site_label
_atom_site_type_symbol
_atom_site_fract_x
_atom_site_fract_y
_atom_site_fract_z
Zr1 Zr 0.000 0.000 0.000
Tl1 Tl 0.250 0.250 0.250
Si1 Si 0.128 0.624 0.624
Si2 Si 0.624 0.128 0.624
Si3 Si 0.624 0.624 0.128
Si4 Si 0.624 0.624 0.624
# SG: No. 216
# Magnetization in Bohr magnetons per cell: 0.000
# Formation energy from raw total energies in eV/atom: 0.176

(5)
# Zr2Tl2Si PBE optimized geometry
data_Zr2Tl2Si
_space_group_name_H-M_alt 'P 1'
_space_group_IT_number 1
_space_group_name_Hall 'P 1'
_cell_length_a 7.048
_cell_length_b 7.048
_cell_length_c 4.734
_cell_angle_alpha 90.00
_cell_angle_beta 90.00
_cell_angle_gamma 90.00
loop_
_atom_site_label
_atom_site_type_symbol
_atom_site_fract_x
_atom_site_fract_y
_atom_site_fract_z
Zr1 Zr 0.162 0.338 0.000
Zr2 Zr 0.338 0.838 0.000
Zr3 Zr 0.662 0.162 0.000
Zr4 Zr 0.838 0.662 0.000
Tl1 Tl 0.155 0.655 0.500
Tl2 Tl 0.345 0.155 0.500
Tl3 Tl 0.655 0.845 0.500
Tl4 Tl 0.845 0.345 0.500
Si1 Si 0.000 0.000 0.000
Si2 Si 0.500 0.500 0.000
# SG: No. 127
# Magnetization in Bohr magnetons per cell: 0.000
# Formation energy from raw total energies in eV/atom: -0.151

(6)
# ZrTl2Si PBE optimized geometry
data_ZrTl2Si
_space_group_name_H-M_alt 'P 1'
_space_group_IT_number 1
_space_group_name_Hall 'P 1'
_cell_length_a 5.326
_cell_length_b 5.326
_cell_length_c 5.062
_cell_angle_alpha 108.57
_cell_angle_beta 108.57
_cell_angle_gamma 43.04
loop_
_atom_site_label
_atom_site_type_symbol
_atom_site_fract_x
_atom_site_fract_y
_atom_site_fract_z
Zr1 Zr 0.000 0.000 0.000
Tl1 Tl 0.560 0.560 0.588
Tl2 Tl 0.786 0.786 0.350
Si1 Si 0.287 0.287 0.957
# SG: No. 8
# Magnetization in Bohr magnetons per cell: 0.000
# Formation energy from raw total energies in eV/atom: 0.098

(7)
# ZrTlSi PBE optimized geometry
data_ZrTlSi
_space_group_name_H-M_alt 'P 1'
_space_group_IT_number 1
_space_group_name_Hall 'P 1'
_cell_length_a 3.209
_cell_length_b 3.209
_cell_length_c 7.260
_cell_angle_alpha 90.00
_cell_angle_beta 90.00
_cell_angle_gamma 120.00
loop_
_atom_site_label
_atom_site_type_symbol
_atom_site_fract_x
_atom_site_fract_y
_atom_site_fract_z
Zr1 Zr 0.000 0.000 0.000
Tl1 Tl 0.333 0.667 0.636
Si1 Si 0.667 0.333 0.298
# SG: No. 156
# Magnetization in Bohr magnetons per cell: 0.000
# Formation energy from raw total energies in eV/atom: 0.172

(8)
# ZrTl2Si PBE optimized geometry
data_ZrTl2Si
_space_group_name_H-M_alt 'P 1'
_space_group_IT_number 1
_space_group_name_Hall 'P 1'
_cell_length_a 3.953
_cell_length_b 3.953
_cell_length_c 5.807
_cell_angle_alpha 90.00
_cell_angle_beta 90.00
_cell_angle_gamma 90.00
loop_
_atom_site_label
_atom_site_type_symbol
_atom_site_fract_x
_atom_site_fract_y
_atom_site_fract_z
Zr1 Zr 0.000 0.000 0.000
Tl1 Tl 0.500 0.500 0.253
Tl2 Tl 0.500 0.500 0.747
Si1 Si 0.000 0.000 0.500
# SG: No. 123
# Magnetization in Bohr magnetons per cell: 0.000
# Formation energy from raw total energies in eV/atom: 0.264

(9)
# ZrTl2Si PBE optimized geometry
data_ZrTl2Si
_space_group_name_H-M_alt 'P 1'
_space_group_IT_number 1
_space_group_name_Hall 'P 1'
_cell_length_a 5.129
_cell_length_b 5.129
_cell_length_c 5.129
_cell_angle_alpha 60.00
_cell_angle_beta 60.00
_cell_angle_gamma 60.00
loop_
_atom_site_label
_atom_site_type_symbol
_atom_site_fract_x
_atom_site_fract_y
_atom_site_fract_z
Zr1 Zr 0.000 0.000 0.000
Tl1 Tl 0.250 0.250 0.250
Tl2 Tl 0.750 0.750 0.750
Si1 Si 0.500 0.500 0.500
# SG: No. 225
# Magnetization in Bohr magnetons per cell: 1.381
# Formation energy from raw total energies in eV/atom: 0.568

(10)
# Zr4TlSi PBE optimized geometry
data_Zr4TlSi
_space_group_name_H-M_alt 'P 1'
_space_group_IT_number 1
_space_group_name_Hall 'P 1'
_cell_length_a 5.756
_cell_length_b 5.756
_cell_length_c 5.756
_cell_angle_alpha 60.00
_cell_angle_beta 60.00
_cell_angle_gamma 60.00
loop_
_atom_site_label
_atom_site_type_symbol
_atom_site_fract_x
_atom_site_fract_y
_atom_site_fract_z
Zr1 Zr 0.125 0.125 0.125
Zr2 Zr 0.125 0.125 0.626
Zr3 Zr 0.125 0.626 0.125
Zr4 Zr 0.626 0.125 0.125
Tl1 Tl 0.500 0.500 0.500
Si1 Si 0.750 0.750 0.750
# SG: No. 216
# Magnetization in Bohr magnetons per cell: 0.000
# Formation energy from raw total energies in eV/atom: 0.353

(11)
# Zr3TlSi PBE optimized geometry
data_Zr3TlSi
_space_group_name_H-M_alt 'P 1'
_space_group_IT_number 1
_space_group_name_Hall 'P 1'
_cell_length_a 5.277
_cell_length_b 5.277
_cell_length_c 5.277
_cell_angle_alpha 90.00
_cell_angle_beta 90.00
_cell_angle_gamma 90.00
loop_
_atom_site_label
_atom_site_type_symbol
_atom_site_fract_x
_atom_site_fract_y
_atom_site_fract_z
Zr1 Zr 0.000 0.000 0.500
Zr2 Zr 0.000 0.500 0.000
Zr3 Zr 0.500 0.000 0.000
Tl1 Tl 0.000 0.000 0.000
Si1 Si 0.500 0.500 0.500
# SG: No. 221
# Magnetization in Bohr magnetons per cell: 1.189
# Formation energy from raw total energies in eV/atom: 1.272

(12)
# ZrTl2Si PBE optimized geometry
data_ZrTl2Si
_space_group_name_H-M_alt 'P 1'
_space_group_IT_number 1
_space_group_name_Hall 'P 1'
_cell_length_a 5.088
_cell_length_b 5.088
_cell_length_c 5.088
_cell_angle_alpha 60.00
_cell_angle_beta 60.00
_cell_angle_gamma 60.00
loop_
_atom_site_label
_atom_site_type_symbol
_atom_site_fract_x
_atom_site_fract_y
_atom_site_fract_z
Zr1 Zr 0.000 0.000 0.000
Tl1 Tl 0.500 0.500 0.500
Tl2 Tl 0.750 0.750 0.750
Si1 Si 0.250 0.250 0.250
# SG: No. 216
# Magnetization in Bohr magnetons per cell: 0.000
# Formation energy from raw total energies in eV/atom: 0.412

(13)
# ZrTl2Si PBE optimized geometry
data_ZrTl2Si
_space_group_name_H-M_alt 'P 1'
_space_group_IT_number 1
_space_group_name_Hall 'P 1'
_cell_length_a 3.717
_cell_length_b 3.717
_cell_length_c 7.205
_cell_angle_alpha 90.00
_cell_angle_beta 90.00
_cell_angle_gamma 90.00
loop_
_atom_site_label
_atom_site_type_symbol
_atom_site_fract_x
_atom_site_fract_y
_atom_site_fract_z
Zr1 Zr 0.000 0.000 0.000
Tl1 Tl 0.000 0.000 0.424
Tl2 Tl 0.500 0.500 0.691
Si1 Si 0.500 0.500 0.079
# SG: No. 99
# Magnetization in Bohr magnetons per cell: 0.000
# Formation energy from raw total energies in eV/atom: -0.043

(14)
# ZrTl2Si PBE optimized geometry
data_ZrTl2Si
_space_group_name_H-M_alt 'P 1'
_space_group_IT_number 1
_space_group_name_Hall 'P 1'
_cell_length_a 5.536
_cell_length_b 5.536
_cell_length_c 3.272
_cell_angle_alpha 90.00
_cell_angle_beta 90.00
_cell_angle_gamma 115.28
loop_
_atom_site_label
_atom_site_type_symbol
_atom_site_fract_x
_atom_site_fract_y
_atom_site_fract_z
Zr1 Zr 0.000 0.000 0.000
Tl1 Tl 0.000 0.500 0.500
Tl2 Tl 0.500 0.000 0.500
Si1 Si 0.500 0.500 0.000
# SG: No. 65
# Magnetization in Bohr magnetons per cell: 0.000
# Formation energy from raw total energies in eV/atom: 0.246